Density functional theory data (PBE-GGA) for an optimized crystal structure of IrPb2OF.

Results
ΔE_f (raw) = 273 meV per atom
M_tot = 0.0 Bohr magnetons per cell
Total energy = -4.348 eV/atom
Calculated density = 10.19 g cm⁻³
Crystal system = tetragonal

Lattice parameters (Å, degrees): 5.159 5.159 3.930 90.00 90.00 90.00
Space group P4/mmm (No. 123)
Asymmetric unit:
Ir 0.000 0.000 0.000 (multiplicity 1)
Pb 0.000 0.500 0.500 (multiplicity 2)
O 0.500 0.500 0.000 (multiplicity 1)
F 0.000 0.000 0.500 (multiplicity 1)



Density functional theory data (PBE-GGA) for an optimized crystal structure of CoAsPb2.

Results
M_tot = 1.9 Bohr magnetons per cell
Total energy = -4.338 eV/atom
Formation energy from the elements = 1.82 eV per formula unit
Calculated density = 10.04 g cm⁻³
Crystal system = monoclinic

Lattice parameters (Å, degrees): 6.556 3.805 7.602 90.00 106.90 90.00
Space group C2/m (No. 12)
Asymmetric unit:
Co 0.000 0.000 0.000 (multiplicity 2)
As 0.000 0.500 0.500 (multiplicity 2)
Pb 0.242 0.500 0.225 (multiplicity 4)



Density functional theory data (PBE-GGA) for an optimized crystal structure of Er4NiOs.

Results
M_tot = 0.0 Bohr magnetons per cell
Total energy = -6.054 eV/atom
Distance to the lowest polymorph of the same formula = 50 kJ/mol of formula units
Formation energy from the elements = -1.06 eV per formula unit
Calculated density = 9.19 g cm⁻³
Crystal system = tetragonal

Lattice parameters (Å, degrees): 9.074 9.074 8.058 90.00 90.00 90.00
Space group I4_1md (No. 109)
Asymmetric unit:
Er 0.000 0.298 0.000 (multiplicity 8)
Er 0.000 0.299 0.499 (multiplicity 8)
Ni 0.000 0.000 0.997 (multiplicity 4)
Os 0.000 0.000 0.502 (multiplicity 4)



Density functional theory data (PBE-GGA) for an optimized crystal structure of Dy5Tl4Au.

Results
M_tot = 0.0 Bohr magnetons per cell
Total energy = -4.035 eV/atom
Formation energy from the elements = -4.60 eV per formula unit
Calculated density = 11.42 g cm⁻³
Crystal system = tetragonal

Lattice parameters (Å, degrees): 3.619 3.619 20.286 90.00 90.00 90.00
Space group P4/mmm (No. 123)
Asymmetric unit:
Dy 0.000 0.000 0.000 (multiplicity 1)
Dy 0.000 0.000 0.206 (multiplicity 2)
Dy 0.000 0.000 0.414 (multiplicity 2)
Tl 0.500 0.500 0.103 (multiplicity 2)
Tl 0.500 0.500 0.309 (multiplicity 2)
Au 0.500 0.500 0.500 (multiplicity 1)



Density functional theory data (PBE-GGA) for an optimized crystal structure of AcZrOsO6.

Results
ΔE_f (raw) = -2323 meV per atom
M_tot = 9.3 Bohr magnetons per cell
Total energy = -8.283 eV/atom
Calculated density = 8.31 g cm⁻³
Crystal system = orthorhombic

Lattice parameters (Å, degrees): 6.910 7.007 9.981 90.00 90.00 90.00
Space group Imma (No. 74)
Asymmetric unit:
Ac 0.000 0.250 0.082 (multiplicity 4)
Zr 0.000 0.000 0.500 (multiplicity 4)
Os 0.250 0.250 0.750 (multiplicity 4)
O 0.000 0.250 0.382 (multiplicity 4)
O 0.000 0.250 0.652 (multiplicity 4)
O 0.208 0.054 0.886 (multiplicity 16)



Density functional theory data (PBE-GGA) for an optimized crystal structure of PuScSi.

Results
ΔE_f (raw) = -364 meV per atom
M_tot = 26.7 Bohr magnetons per cell
Total energy = -9.060 eV/atom
Distance to the lowest polymorph of the same formula = 0 kJ/mol of formula units
Calculated density = 7.71 g cm⁻³
Crystal system = orthorhombic

Lattice parameters (Å, degrees): 4.087 10.855 6.158 90.00 90.00 90.00
Space group Cmcm (No. 63)
Asymmetric unit:
Pu 0.000 0.203 0.250 (multiplicity 4)
Sc 0.000 0.500 0.000 (multiplicity 4)
Si 0.000 0.102 0.750 (multiplicity 4)



Density functional theory data (PBE-GGA) for an optimized crystal structure of NaNd2NpO8.

Results
ΔE_f (raw) = -2474 meV per atom
M_tot = 0.0 Bohr magnetons per cell
Total energy = -7.763 eV/atom
Calculated density = 6.75 g cm⁻³
Crystal system = monoclinic

Lattice parameters (Å, degrees): 4.317 7.584 5.096 90.00 94.24 90.00
Space group P2/m (No. 10)
Asymmetric unit:
Na 0.000 0.000 0.000 (multiplicity 1)
Nd 0.500 0.257 0.500 (multiplicity 2)
Np 0.000 0.500 0.000 (multiplicity 1)
O 0.033 0.296 0.754 (multiplicity 4)
O 0.446 0.500 0.232 (multiplicity 2)
O 0.499 0.000 0.151 (multiplicity 2)



Density functional theory data (PBE-GGA) for an optimized crystal structure of La6Sm5Er.

Results
M_tot = 0.0 Bohr magnetons per cell
Total energy = -4.791 eV/atom
Distance to the lowest polymorph of the same formula = 4 kJ/mol of formula units
Formation energy from the elements = 0.23 eV per formula unit
Calculated density = 6.91 g cm⁻³
Crystal system = triclinic

Lattice parameters (Å, degrees): 6.321 7.410 9.732 112.37 91.06 90.07
Space group P-1 (No. 2)
Asymmetric unit:
La 0.000 0.249 0.000 (multiplicity 2)
La 0.334 0.083 0.668 (multiplicity 2)
La 0.334 0.584 0.668 (multiplicity 2)
Sm 0.165 0.667 0.333 (multiplicity 2)
Sm 0.167 0.166 0.333 (multiplicity 2)
Sm 0.500 0.500 0.000 (multiplicity 1)
Er 0.500 0.000 0.000 (multiplicity 1)



Density functional theory data (PBE-GGA) for an optimized crystal structure of LaAgCl2.

Results
ΔE_f (raw) = -1081 meV per atom
M_tot = 0.0 Bohr magnetons per cell
Total energy = -3.949 eV/atom
Distance to the lowest polymorph of the same formula = 89 kJ/mol of formula units
Calculated density = 4.68 g cm⁻³
Crystal system = tetragonal

Lattice parameters (Å, degrees): 4.892 4.892 18.837 90.00 90.00 90.00
Space group I-42d (No. 122)
Asymmetric unit:
La 0.000 0.000 0.000 (multiplicity 4)
Ag 0.000 0.000 0.500 (multiplicity 4)
Cl 0.218 0.250 0.125 (multiplicity 8)



Density functional theory data (PBE-GGA) for an optimized crystal structure of Na2HgAu.

Results
M_tot = 0.0 Bohr magnetons per cell
Total energy = -1.823 eV/atom
Formation energy from the elements = -1.08 eV per formula unit
Calculated density = 7.80 g cm⁻³
Crystal system = tetragonal

Lattice parameters (Å, degrees): 4.958 4.958 3.843 90.00 90.00 90.00
Space group P4/mmm (No. 123)
Asymmetric unit:
Na 0.000 0.500 0.000 (multiplicity 2)
Hg 0.000 0.000 0.500 (multiplicity 1)
Au 0.500 0.500 0.500 (multiplicity 1)



Density functional theory data (PBE-GGA) for an optimized crystal structure of MgReTe2.

Results
ΔE_f (raw) = 368 meV per atom
M_tot = 0.0 Bohr magnetons per cell
Total energy = -4.714 eV/atom
Calculated density = 6.33 g cm⁻³
Crystal system = tetragonal

Lattice parameters (Å, degrees): 6.414 6.414 11.884 90.00 90.00 90.00
Space group I-42d (No. 122)
Asymmetric unit:
Mg 0.000 0.000 0.000 (multiplicity 4)
Re 0.000 0.000 0.500 (multiplicity 4)
Te 0.218 0.250 0.625 (multiplicity 8)



Density functional theory data (PBE-GGA) for an optimized crystal structure of Be2CrTc.

Results
M_tot = 0.0 Bohr magnetons per cell
Total energy = -6.784 eV/atom
Distance to the lowest polymorph of the same formula = 63 kJ/mol of formula units
Formation energy from the elements = 0.30 eV per formula unit
Calculated density = 6.38 g cm⁻³
Crystal system = orthorhombic

Lattice parameters (Å, degrees): 2.497 3.631 4.828 90.00 90.00 90.00
Space group Pmmm (No. 47)
Asymmetric unit:
Be 0.000 0.000 0.240 (multiplicity 2)
Cr 0.500 0.500 0.000 (multiplicity 1)
Tc 0.500 0.500 0.500 (multiplicity 1)